[1]
! KNa7V8O24 (GGA+U, relaxed); values from VASP
! energy = -267.5 eV/cell
! crystal system = monoclinic
&SYSTEM
  ibrav = 0, nat = 40, ntyp = 4
/
ATOMIC_SPECIES
K 39.10 K.upf
Na 22.99 Na.upf
V 50.94 V.upf
O 16.00 O.upf
CELL_PARAMETERS angstrom
5.991 0.000 0.000
0.000 9.913 0.000
-2.537 0.000 10.252
ATOMIC_POSITIONS angstrom
K 0.000 0.000 0.000
Na -1.268 2.938 5.126
Na 0.000 6.058 0.000
Na -1.268 9.217 5.126
Na 1.727 1.110 5.126
Na 2.995 4.262 0.000
Na 1.727 4.782 5.126
Na 2.995 7.876 0.000
V 0.725 2.926 2.154
V -0.437 6.080 7.229
V 0.905 7.784 3.047
V -0.243 1.182 8.058
V 3.697 1.182 2.194
V 2.549 7.784 7.205
V 3.891 6.080 3.023
V 2.729 2.926 8.098
O -0.587 6.911 3.627
O -1.702 2.123 8.644
O 0.903 4.425 1.441
O 0.957 7.826 1.366
O -0.328 4.544 6.586
O -0.267 1.082 6.375
O 0.782 9.332 3.678
O 0.759 3.045 3.833
O -0.453 6.015 8.916
O -0.347 9.567 8.716
O 2.159 1.959 1.574
O 1.042 6.949 6.595
O 2.412 6.949 3.658
O 1.295 1.959 8.678
O 3.802 9.567 1.536
O 3.907 6.015 1.336
O 2.695 3.045 6.419
O 2.672 9.332 6.574
O 3.721 1.082 3.877
O 3.782 4.544 3.667
O 2.497 7.826 8.886
O 2.551 4.425 8.812
O 5.157 2.123 1.609
O 4.041 6.911 6.625

=====

[2]
! KNa2VO4 (GGA+U, relaxed); values from VASP
! energy = -46.6 eV/cell
! crystal system = tetragonal
&SYSTEM
  ibrav = 0, nat = 8, ntyp = 4
/
ATOMIC_SPECIES
K 39.10 K.upf
Na 22.99 Na.upf
V 50.94 V.upf
O 16.00 O.upf
CELL_PARAMETERS angstrom
-2.894 2.894 3.789
2.894 -2.894 3.789
2.894 2.894 -3.789
ATOMIC_POSITIONS angstrom
K 0.000 0.000 0.000
Na 2.894 0.000 1.895
Na 0.000 2.894 1.895
V 0.000 0.000 3.789
O 1.873 1.873 -0.993
O 1.021 -1.021 4.782
O 1.021 1.021 2.796
O -1.021 1.021 4.782

=====

[3]
! K2NaV2O6 (GGA+U, relaxed); values from VASP
! energy = -66.9 eV/cell
! crystal system = monoclinic
&SYSTEM
  ibrav = 0, nat = 11, ntyp = 4
/
ATOMIC_SPECIES
K 39.10 K.upf
Na 22.99 Na.upf
V 50.94 V.upf
O 16.00 O.upf
CELL_PARAMETERS angstrom
5.175 -3.144 0.000
5.175 3.144 0.000
-3.006 0.000 5.990
ATOMIC_POSITIONS angstrom
K 1.580 0.000 0.962
K 5.764 0.000 5.028
Na -1.503 0.000 2.995
V 2.317 0.000 4.598
V 5.027 0.000 1.392
O 4.114 1.441 1.276
O 0.883 0.000 3.704
O 3.229 1.441 4.714
O 4.114 -1.441 1.276
O 6.460 0.000 2.286
O 3.229 -1.441 4.714

=====

[4]
! KNaV2O6 (GGA+U, relaxed); values from VASP
! energy = -133.4 eV/cell
! crystal system = monoclinic
&SYSTEM
  ibrav = 0, nat = 20, ntyp = 4
/
ATOMIC_SPECIES
K 39.10 K.upf
Na 22.99 Na.upf
V 50.94 V.upf
O 16.00 O.upf
CELL_PARAMETERS angstrom
5.464 -5.612 0.000
5.464 5.612 0.000
-1.879 0.000 5.742
ATOMIC_POSITIONS angstrom
K 4.055 4.443 4.306
K 4.994 -4.443 1.435
Na 4.994 2.770 1.435
Na 4.055 -2.770 4.306
V 1.806 0.897 4.568
V 2.745 -0.897 1.697
V 6.304 0.897 4.045
V 7.243 -0.897 1.174
O 0.212 1.118 4.057
O 2.476 2.370 4.987
O 1.152 -1.118 1.186
O 2.749 0.153 3.186
O 3.688 -0.153 0.315
O 5.634 2.370 3.626
O 3.415 -2.370 2.116
O 5.361 0.153 5.427
O 6.301 -0.153 2.556
O 7.898 1.118 4.556
O 6.573 -2.370 0.755
O 8.837 -1.118 1.685

=====

[5]
! KNaV2O6 (GGA+U, relaxed); values from VASP
! energy = -133.9 eV/cell
! crystal system = monoclinic
&SYSTEM
  ibrav = 0, nat = 20, ntyp = 4
/
ATOMIC_SPECIES
K 39.10 K.upf
Na 22.99 Na.upf
V 50.94 V.upf
O 16.00 O.upf
CELL_PARAMETERS angstrom
5.408 -5.140 0.000
5.408 5.140 0.000
-1.518 0.000 5.734
ATOMIC_POSITIONS angstrom
K 4.270 3.101 4.301
K 5.029 -3.101 1.434
Na 5.029 0.969 1.434
Na 4.270 -0.969 4.301
V 1.131 0.873 4.458
V 1.890 -0.873 1.591
V 7.410 0.873 4.143
V 8.168 -0.873 1.276
O 3.319 2.734 1.634
O 1.652 0.136 0.077
O 0.893 -0.136 2.944
O 2.759 0.899 4.875
O 6.739 2.734 1.233
O 3.518 -0.899 2.007
O 5.782 0.899 3.727
O 2.560 -2.734 4.501
O 6.540 -0.899 0.860
O 8.406 0.136 2.790
O 7.648 -0.136 5.657
O 5.980 -2.734 4.100

=====

[6]
! K2NaVO4 (GGA+U, relaxed); values from VASP
! energy = -89.4 eV/cell
! crystal system = orthorhombic
&SYSTEM
  ibrav = 0, nat = 16, ntyp = 4
/
ATOMIC_SPECIES
K 39.10 K.upf
Na 22.99 Na.upf
V 50.94 V.upf
O 16.00 O.upf
CELL_PARAMETERS angstrom
0.000 5.815 10.373
2.743 0.000 10.373
2.743 5.815 0.000
ATOMIC_POSITIONS angstrom
K 2.057 4.361 1.210
K 3.429 7.268 6.396
K 2.057 4.361 14.349
K 3.429 7.268 19.536
Na 0.686 1.454 2.593
Na 4.800 10.175 18.152
V 2.057 4.361 7.780
V 3.429 7.268 12.966
O 3.099 3.316 6.835
O 3.099 5.406 8.724
O 4.470 6.223 13.911
O 4.470 8.313 12.021
O 1.015 3.316 8.724
O 1.015 5.406 6.835
O 2.387 6.223 12.021
O 2.387 8.313 13.911

=====

[7]
! KNa2WO4 (GGA+U, relaxed); values from VASP
! energy = -45.3 eV/cell
! crystal system = tetragonal
&SYSTEM
  ibrav = 0, nat = 8, ntyp = 4
/
ATOMIC_SPECIES
K 39.10 K.upf
Na 22.99 Na.upf
W 183.84 W.upf
O 16.00 O.upf
CELL_PARAMETERS angstrom
-2.984 2.984 3.765
2.984 -2.984 3.765
2.984 2.984 -3.765
ATOMIC_POSITIONS angstrom
K 0.000 0.000 0.000
Na 2.984 0.000 1.883
Na 0.000 2.984 1.883
W 0.000 0.000 3.765
O 1.181 -1.181 2.875
O 1.803 1.803 0.890
O -1.181 1.181 2.875
O 1.181 1.181 4.655

=====

[8]
! K3NaW2O8 (GGA+U, relaxed); values from VASP
! energy = -87.1 eV/cell
! crystal system = trigonal
&SYSTEM
  ibrav = 0, nat = 14, ntyp = 4
/
ATOMIC_SPECIES
K 39.10 K.upf
Na 22.99 Na.upf
W 183.84 W.upf
O 16.00 O.upf
CELL_PARAMETERS angstrom
6.180 0.000 0.000
-3.090 5.352 0.000
0.000 0.000 7.797
ATOMIC_POSITIONS angstrom
K 0.000 0.000 0.000
K 0.000 3.568 5.123
K 3.090 1.784 2.674
Na 0.000 0.000 3.898
W 0.000 3.568 1.675
W 3.090 1.784 6.122
O 0.000 1.875 2.346
O -1.467 4.415 2.346
O 0.000 3.568 7.663
O 1.624 0.937 5.451
O 1.467 4.415 2.346
O 3.090 1.784 0.134
O 4.557 0.937 5.451
O 3.090 3.478 5.451